[1]
A plane-wave DFT calculation with PBE-GGA was carried out for a relaxed structure of V2Ni3Pt3.

Geometry as CIF:
```
data_V2Ni3Pt3
_chemical_formula_sum 'V4 Ni6 Pt6'
_space_group_name_H-M_alt 'C 1 2/m 1'
_space_group_IT_number 12
_cell_length_a 11.5836
_cell_length_b 4.4776
_cell_length_c 4.5615
_cell_angle_alpha 90.00
_cell_angle_beta 113.16
_cell_angle_gamma 90.00
loop_
_space_group_symop_operation_xyz
'x,y,z'
'-x,-y,-z'
'-x,y,-z'
'x,-y,z'
'x+1/2,y+1/2,z'
'-x+1/2,-y+1/2,-z'
'-x+1/2,y+1/2,-z'
'x+1/2,-y+1/2,z'
loop_
_atom_site_label
_atom_site_fract_x
_atom_site_fract_y
_atom_site_fract_z
V1 0.2494 0.0000 0.2498
Ni1 0.0000 0.0000 0.0000
Ni2 0.1203 0.0000 0.6215
Pt1 0.0000 0.5000 0.5000
Pt2 0.1368 0.5000 0.1363
```

Calculated values
DFT total energy = -6.94 eV per atom
relative energy among the computed polymorphs = 78 meV/atom
DFT formation energy = -228 meV/atom

[2]
A plane-wave DFT calculation with PBE-GGA was carried out for a relaxed structure of TaGeN.

Geometry as CIF:
```
data_TaGeN
_chemical_formula_sum 'Ta6 Ge6 N6'
_space_group_name_H-M_alt 'R -3 m'
_space_group_IT_number 166
_space_group_name_Hall '-R 3 2"'
_cell_length_a 3.2056
_cell_length_b 3.2056
_cell_length_c 33.7959
_cell_angle_alpha 90.00
_cell_angle_beta 90.00
_cell_angle_gamma 120.00
loop_
_atom_site_label
_atom_site_fract_x
_atom_site_fract_y
_atom_site_fract_z
Ta1 0.0000 0.0000 0.0928
Ge1 0.0000 0.0000 0.3630
N1 0.0000 0.0000 0.2162
```

Calculated values
DFT total energy = -8.61 eV per atom
raw formation energy = -343 meV per atom

[3]
A plane-wave DFT calculation with PBE-GGA was carried out for a relaxed structure of KTbIr2O8.

Geometry as CIF:
```
data_KTbIr2O8
_chemical_formula_sum 'K1 Tb1 Ir2 O8'
_space_group_name_H-M_alt 'P -3'
_space_group_IT_number 147
_cell_length_a 5.9609
_cell_length_b 5.9609
_cell_length_c 7.6876
_cell_angle_alpha 90.00
_cell_angle_beta 90.00
_cell_angle_gamma 120.00
loop_
_space_group_symop_operation_xyz
'x,y,z'
'-x,-y,-z'
'-y,x-y,z'
'y,-x+y,-z'
'-x+y,-x,z'
'x-y,x,-z'
loop_
_atom_site_label
_atom_site_fract_x
_atom_site_fract_y
_atom_site_fract_z
K1 0.0000 0.0000 0.0000
Tb1 0.0000 0.0000 0.5000
Ir1 0.3333 0.6667 0.7758
O1 0.1634 0.3372 0.6851
O2 0.3333 0.6667 0.0074
```

Calculated values
DFT total energy = -6.42 eV per atom
raw formation energy = -1162 meV per atom

[4]
A plane-wave DFT calculation with PBE-GGA was carried out for a relaxed structure of Pm2Nd4DyTh.

Geometry as CIF:
```
data_Pm2Nd4DyTh
_chemical_formula_sum 'Pm2 Nd4 Dy1 Th1'
_space_group_name_H-M_alt 'P 1 2/m 1'
_space_group_IT_number 10
_cell_length_a 6.0979
_cell_length_b 6.1086
_cell_length_c 7.3226
_cell_angle_alpha 90.00
_cell_angle_beta 90.12
_cell_angle_gamma 90.00
loop_
_space_group_symop_operation_xyz
'x,y,z'
'-x,-y,-z'
'-x,y,-z'
'x,-y,z'
loop_
_atom_site_label
_atom_site_fract_x
_atom_site_fract_y
_atom_site_fract_z
Pm1 0.0000 0.0000 0.0000
Pm2 0.5000 0.5000 0.5000
Nd1 0.9996 0.5000 0.2455
Nd2 0.5004 0.0000 0.2453
Dy1 0.0000 0.0000 0.5000
Th1 0.5000 0.5000 0.0000
```

Calculated values
DFT total energy = -4.94 eV per atom
DFT formation energy = 134 meV/atom

[5]
A plane-wave DFT calculation with PBE-GGA was carried out for a relaxed structure of LiCu2PdPb.

Geometry as CIF:
```
data_LiCu2PdPb
_chemical_formula_sum 'Li1 Cu2 Pd1 Pb1'
_space_group_name_H-M_alt 'P 4/m m m'
_space_group_IT_number 123
_space_group_name_Hall '-P 4 2'
_cell_length_a 4.9573
_cell_length_b 4.9573
_cell_length_c 5.2068
_cell_angle_alpha 90.00
_cell_angle_beta 90.00
_cell_angle_gamma 90.00
loop_
_atom_site_label
_atom_site_fract_x
_atom_site_fract_y
_atom_site_fract_z
Li1 0.0000 0.0000 0.0000
Cu1 0.0000 0.5000 0.5000
Pd1 0.5000 0.5000 0.0000
Pb1 0.5000 0.5000 0.5000
```

Calculated values
DFT total energy = -3.20 eV per atom
DFT formation energy = 599 meV/atom

[6]
A plane-wave DFT calculation with PBE-GGA was carried out for a relaxed structure of SmGa2Au3.

Geometry as CIF:
```
data_SmGa2Au3
_chemical_formula_sum 'Sm6 Ga12 Au18'
_space_group_name_H-M_alt 'C 1 2/m 1'
_space_group_IT_number 12
_cell_length_a 17.1108
_cell_length_b 4.2574
_cell_length_c 10.4747
_cell_angle_alpha 90.00
_cell_angle_beta 107.50
_cell_angle_gamma 90.00
loop_
_space_group_symop_operation_xyz
'x,y,z'
'-x,-y,-z'
'-x,y,-z'
'x,-y,z'
'x+1/2,y+1/2,z'
'-x+1/2,-y+1/2,-z'
'-x+1/2,y+1/2,-z'
'x+1/2,-y+1/2,z'
loop_
_atom_site_label
_atom_site_fract_x
_atom_site_fract_y
_atom_site_fract_z
Sm1 0.0000 0.0000 0.0000
Sm2 0.1530 0.0000 0.6916
Ga1 0.0324 0.5000 0.7741
Ga2 0.1405 0.5000 0.4501
Ga3 0.2012 0.0000 0.1214
Au1 0.0000 0.5000 0.5000
Au2 0.0430 0.0000 0.3370
Au3 0.1159 0.5000 0.1809
Au4 0.1695 0.5000 0.9507
Au5 0.2207 0.0000 0.3766
```

Calculated values
DFT total energy = -3.98 eV per atom
DFT formation energy = -545 meV/atom

[7]
A plane-wave DFT calculation with PBE-GGA was carried out for a relaxed structure of YHo2Zn6.

Geometry as CIF:
```
data_YHo2Zn6
_chemical_formula_sum 'Y1 Ho2 Zn6'
_space_group_name_H-M_alt 'P 6/m m m'
_space_group_IT_number 191
_space_group_name_Hall '-P 6 2'
_cell_length_a 7.7316
_cell_length_b 7.7316
_cell_length_c 3.4985
_cell_angle_alpha 90.00
_cell_angle_beta 90.00
_cell_angle_gamma 120.00
loop_
_atom_site_label
_atom_site_fract_x
_atom_site_fract_y
_atom_site_fract_z
Y1 0.0000 0.0000 0.0000
Ho1 0.3333 0.6667 0.0000
Zn1 0.0000 0.3340 0.5000
```

Calculated values
DFT total energy = -2.97 eV per atom
DFT formation energy = -388 meV/atom

[8]
A plane-wave DFT calculation with PBE-GGA was carried out for a relaxed structure of Ba2HgMo.

Geometry as CIF:
```
data_Ba2HgMo
_chemical_formula_sum 'Ba2 Hg1 Mo1'
_space_group_name_H-M_alt 'P 4 m m'
_space_group_IT_number 99
_cell_length_a 3.8647
_cell_length_b 3.8647
_cell_length_c 9.5218
_cell_angle_alpha 90.00
_cell_angle_beta 90.00
_cell_angle_gamma 90.00
loop_
_space_group_symop_operation_xyz
'x,y,z'
'-y,x,z'
'-x,-y,z'
'y,-x,z'
'-x,y,z'
'y,x,z'
'x,-y,z'
'-y,-x,z'
loop_
_atom_site_label
_atom_site_fract_x
_atom_site_fract_y
_atom_site_fract_z
Ba1 0.0000 0.0000 0.0000
Ba2 0.5000 0.5000 0.4110
Hg1 0.0000 0.0000 0.6498
Mo1 0.5000 0.5000 0.7527
```

Calculated values
DFT total energy = -3.19 eV per atom
DFT formation energy = 555 meV/atom

Question: What is the DFT total energy in the eighth record?
Answer: -3.19 eV per atom